Compound: Pu2ThSc
Source: Alexandria
Functional: PBE
Structure: relaxed

- DOS(E_F) (states/eV/atom) = 3.067
- energy above the most stable polymorph in this dataset (eV/f.u.) = 0.14
- formation enthalpy at 0 K (meV/atom) = 173

Structure (CIF):
```
data_Pu2ThSc
_cell_length_a 3.412
_cell_length_b 3.412
_cell_length_c 9.310
_cell_angle_alpha 90.00
_cell_angle_beta 90.00
_cell_angle_gamma 90.00
_space_group_name_H-M_alt 'P 4/m m m'
_space_group_IT_number 123
_space_group_name_Hall '-P 4 2'
loop_
_atom_site_label
_atom_site_type_symbol
_atom_site_fract_x
_atom_site_fract_y
_atom_site_fract_z
Pu1 Pu 0.000 0.000 0.245
Th1 Th 0.500 0.500 0.500
Sc1 Sc 0.500 0.500 0.000
```